(1)
CoHgBiP2 | PBE-GGA | optimized geometry

Output
* uncorrected energy: -4.026 eV per atom

The structure in extended XYZ format:
```
5
Lattice="4.317 0.000 0.000 0.000 5.577 0.000 0.000 0.000 4.317" Properties=species:S:1:pos:R:3 pbc="T T T"
P 0.000 0.000 2.159
P 2.159 0.000 0.000
Co 0.000 0.000 0.000
Bi 2.159 2.788 2.159
Hg 0.000 2.788 0.000
```

***

(2)
CoHgBi2Pb | PBE-GGA | optimized geometry

Output
* uncorrected energy: -3.519 eV per atom

The structure in extended XYZ format:
```
5
Lattice="-2.879 2.487 -3.523 0.455 -3.991 -3.190 -4.288 -2.103 2.020" Properties=species:S:1:pos:R:3 pbc="T T T"
Pb 0.228 -1.996 -1.595
Co 0.000 0.000 0.000
Bi -2.144 -1.052 1.010
Bi -1.440 1.244 -1.761
Hg -3.356 -1.804 -2.347
```

***

(3)
CoHgBi2Ru | PBE-GGA | optimized geometry

Output
* uncorrected energy: -3.221 eV per atom

The structure in extended XYZ format:
```
5
Lattice="5.561 0.000 0.000 0.000 4.750 0.000 0.000 0.000 5.561" Properties=species:S:1:pos:R:3 pbc="T T T"
Ru 2.781 2.375 2.781
Co 0.000 2.375 0.000
Bi 0.000 0.000 2.781
Bi 2.781 0.000 0.000
Hg 0.000 0.000 0.000
```

***

(4)
Tl2CoHgBi | PBE-GGA | optimized geometry

Output
* uncorrected energy: -3.029 eV per atom

The structure in extended XYZ format:
```
5
Lattice="-2.750 3.491 2.570 -2.490 -3.764 2.449 3.550 0.065 3.710" Properties=species:S:1:pos:R:3 pbc="T T T"
Tl -1.245 -1.882 1.224
Tl -1.375 1.746 1.285
Co 0.000 0.000 0.000
Bi 1.775 0.033 1.855
Hg -0.845 -0.104 4.364
```

***

(5)
YCo2HgBi | PBE-GGA | optimized geometry

Output
* uncorrected energy: -3.797 eV per atom

The structure in extended XYZ format:
```
5
Lattice="-0.948 -0.493 4.676 4.266 -3.651 0.479 2.988 3.620 0.987" Properties=species:S:1:pos:R:3 pbc="T T T"
Y 0.000 0.000 0.000
Co 1.494 1.810 0.494
Co -0.474 -0.247 2.338
Bi 3.153 -0.262 3.071
Hg 2.133 -1.826 0.240
```

***

(6)
ZnCoHg2Bi | PBE-GGA | optimized geometry

Output
* uncorrected energy: -2.242 eV per atom

The structure in extended XYZ format:
```
5
Lattice="5.145 0.000 0.000 0.000 4.850 0.000 0.000 0.000 5.145" Properties=species:S:1:pos:R:3 pbc="T T T"
Zn 2.573 2.425 2.573
Co 0.000 0.000 0.000
Bi 0.000 2.425 0.000
Hg 0.000 0.000 2.573
Hg 2.573 0.000 0.000
```

***

(7)
Ho5CoBi2 | PBE-GGA | optimized geometry

Output
* uncorrected energy: -5.264 eV per atom

The structure in extended XYZ format:
```
16
Lattice="4.429 0.000 0.000 0.000 8.064 0.000 0.000 0.000 12.329" Properties=species:S:1:pos:R:3 pbc="T T T"
Ho 0.000 0.000 6.164
Ho 0.000 4.032 0.000
Ho 0.000 6.974 2.330
Ho 0.000 1.090 9.998
Ho 0.000 5.122 8.495
Ho 0.000 2.942 3.834
Ho 2.215 5.464 5.415
Ho 2.215 2.600 6.914
Ho 2.215 6.632 11.580
Ho 2.215 1.432 0.749
Co 0.000 4.032 6.164
Co 0.000 0.000 0.000
Bi 2.215 4.595 2.159
Bi 2.215 3.469 10.170
Bi 2.215 7.501 8.323
Bi 2.215 0.563 4.005
```

***

(8)
Ho5CoBi2 | PBE-GGA | optimized geometry

Output
* uncorrected energy: -4.864 eV per atom

The structure in extended XYZ format:
```
16
Lattice="-1.526 -5.016 -1.300 5.446 2.759 -5.812 10.715 -5.220 7.563" Properties=species:S:1:pos:R:3 pbc="T T T"
Ho 12.813 -6.859 0.208
Ho 10.101 -5.538 -1.707
Ho 6.719 -1.905 -0.533
Ho 3.698 -0.434 -2.665
Ho 3.689 -3.718 -1.206
Ho 10.946 -3.759 1.657
Ho 7.917 -5.572 0.984
Ho 10.938 -7.043 3.116
Ho 1.823 -0.618 0.243
Ho 4.535 -1.939 2.158
Co 10.403 -6.255 0.704
Co 4.233 -1.222 -0.253
Bi 7.140 -4.542 -2.076
Bi 3.409 -2.724 -4.710
Bi 7.496 -2.935 2.527
Bi 11.227 -4.753 5.161
```

***

no.,density of states at the Fermi level (states/eV/cell)
1,4.42
2,5.08
3,10.93
4,3.82
5,7.72
6,1.71
7,7.42
8,7.93